# Li4Cd3Bi

Li4Cd3Bi after structural relaxation (PBE, the Alexandria database).

POSCAR file:
```
Li4Cd3Bi
1.0
6.9729 -2.4735 0.0000
6.9729 2.4735 0.0000
-1.7425 0.0000 4.6297
Li Cd Bi
4 3 1
Direct
0.1259 0.1259 0.1261 Li
0.3740 0.3740 0.3730 Li
0.6260 0.6260 0.6270 Li
0.8741 0.8741 0.8739 Li
0.0000 0.0000 0.5000 Cd
0.2443 0.2443 0.7438 Cd
0.7557 0.7557 0.2562 Cd
0.5000 0.5000 0.0000 Bi
```

Results
SG   C2/m, No. 12
N(E_F)   3.3 states/eV per cell
Energy of formation from the pure elements   -0.299 eV/atom


# YSc2Zn

YSc2Zn after structural relaxation (PBE, the Alexandria database).

POSCAR file:
```
YSc2Zn
1.0
0.0000 3.5998 3.5998
3.5998 0.0000 3.5998
3.5998 3.5998 0.0000
Y Sc Zn
1 2 1
Direct
0.0000 0.0000 0.0000 Y
0.5000 0.5000 0.5000 Sc
0.7500 0.7500 0.7500 Sc
0.2500 0.2500 0.2500 Zn
```

Results
SG   F-43m, No. 216
N(E_F)   5.4 states/eV per cell
Energy of formation from the pure elements   0.004 eV/atom


# AcScGa3

AcScGa3 after structural relaxation (PBE, the Alexandria database).

POSCAR file:
```
AcScGa3
1.0
2.2096 -12.7744 0.0000
2.2096 12.7744 0.0000
0.0000 0.0000 4.2541
Ac Sc Ga
2 2 6
Direct
0.0782 0.9218 0.7500 Ac
0.9218 0.0782 0.2500 Ac
0.2047 0.7953 0.2500 Sc
0.7953 0.2047 0.7500 Sc
0.3145 0.6855 0.2500 Ga
0.3715 0.6285 0.7500 Ga
0.4746 0.5254 0.7500 Ga
0.5254 0.4746 0.2500 Ga
0.6285 0.3715 0.2500 Ga
0.6855 0.3145 0.7500 Ga
```

Results
SG   Cmcm, No. 63
N(E_F)   6.4 states/eV per cell
Energy of formation from the pure elements   -0.563 eV/atom


# OsCN2

OsCN2 after structural relaxation (PBE, the Alexandria database).

POSCAR file:
```
OsCN2
1.0
1.4509 0.8377 5.2820
-1.4509 0.8377 5.2820
0.0000 -1.6753 5.2820
Os C N
1 1 2
Direct
0.0000 0.0000 0.0000 Os
0.5000 0.5000 0.5000 C
0.4208 0.4208 0.4208 N
0.5792 0.5792 0.5792 N
```

Results
SG   R-3m, No. 166
N(E_F)   1.6 states/eV per cell
Formation energy from raw total energies   0.8343 eV/atom


Number 1: magnetic moment 0.000 μB per atom. Number 2: magnetic moment 0.144 μB per atom. Number 3: magnetic moment 0.000 μB per atom. Number 4: magnetic moment 0.000 μB per atom.